No. 1
Computed, not measured: a relaxed structure of LaScZn2Cu at the PBE level of DFT.

Cell and atoms, written as POSCAR:
```
LaScZn2Cu
1.0
5.112 0.000 0.000
0.000 5.112 0.000
0.000 0.000 4.722
La Sc Zn Cu
1 1 2 1
direct
0.000 0.000 0.000
0.500 0.500 0.500
0.000 0.500 0.500
0.500 0.000 0.500
0.500 0.500 0.000
```

Properties
The formation energy is 253 meV/atom.

No. 2
Computed, not measured: a relaxed structure of HgTe2P at the PBE level of DFT.

Cell and atoms, written as POSCAR:
```
HgTe2P
1.0
1.854 1.070 10.241
-1.854 1.070 10.241
0.000 -2.141 10.241
Hg Te P
1 2 1
direct
0.000 0.000 0.000
0.222 0.222 0.222
0.778 0.778 0.778
0.500 0.500 0.500
```

Properties
The energy above the most stable polymorph in this dataset is 4 meV/atom.

What did we get for electronic total energy? Answer: -16.6, -11.5 eV/cell, in the order shown.
What did we get for total moment? Answer: 0.0, 0.0 μB/f.u., in the order shown.